The following is a PBE-GGA calculation of a relaxed Pm3Pr12Hg crystal, from Alexandria via LeMat-Bulk.

Lattice parameters (Å, degrees): 5.146 5.146 20.913 90.00 90.00 90.00
Atoms (fractional coordinates):
Pm 0.000 0.000 0.000
Pm 0.000 0.000 0.254
Pm 0.000 0.000 0.746
Pr 0.000 0.500 0.127
Pr 0.000 0.500 0.380
Pr 0.000 0.500 0.620
Pr 0.000 0.500 0.873
Pr 0.500 0.000 0.127
Pr 0.500 0.000 0.380
Pr 0.500 0.000 0.620
Pr 0.500 0.000 0.873
Pr 0.500 0.500 0.000
Pr 0.500 0.500 0.256
Pr 0.500 0.500 0.500
Pr 0.500 0.500 0.744
Hg 0.000 0.000 0.500

Output
density of states at the Fermi level: 22.8 states/eV/cell
formation energy: -24 meV/atom
size of the total moment: 0.000 μB per formula unit